# 1
Below is NbSbP2Cl after structural relaxation, with properties calculated at the PBE-GGA level.

Lattice parameters (Å, degrees): 5.048 5.048 4.920 90.00 90.00 90.00
Each line ends with the local moment (μB).
Fractional positions:
1 P 0.500 0.000 0.000  -0.16
2 P 0.000 0.500 0.000  -0.16
3 Nb 0.500 0.500 0.500  2.37
4 Cl 0.000 0.000 0.500  -0.01
5 Sb 0.000 0.000 0.000  -0.01

Calculated values
Space group   P4/mmm (123)
E_form (uncorrected)   1.1029 eV/atom
Magnetization   2.24 μB per formula unit
N(E_F)   6.2 states/eV per cell

=====

# 2
Below is TiCrInCo after structural relaxation, with properties calculated at the PBE-GGA level.

Lattice parameters (Å, degrees): 4.419 4.419 4.419 60.00 60.00 60.00
Each line ends with the local moment (μB).
Fractional positions:
1 In 0.500 0.500 0.500  -0.04
2 Cr 0.250 0.250 0.250  3.06
3 Co 0.750 0.750 0.750  0.99
4 Ti 0.000 0.000 0.000  -0.28

Calculated values
Calculated formation energy   0.011 eV/atom
Space group   F-43m (216)
Magnetization   3.89 μB per formula unit
N(E_F)   2.6 states/eV per cell

=====

# 3
Below is CsRbCuI4 after structural relaxation, with properties calculated at the PBE-GGA level.

Lattice parameters (Å, degrees): 8.436 7.245 11.043 90.00 107.05 90.00
Fractional positions:
1 Rb 0.757 0.750 0.453
2 Rb 0.243 0.250 0.547
3 I 0.993 0.007 0.237
4 I 0.638 0.250 0.453
5 I 0.993 0.493 0.237
6 I 0.007 0.993 0.763
7 I 0.007 0.507 0.763
8 I 0.584 0.250 0.842
9 I 0.416 0.750 0.158
10 I 0.362 0.750 0.547
11 Cu 0.784 0.250 0.697
12 Cu 0.216 0.750 0.303
13 Cs 0.304 0.250 0.078
14 Cs 0.696 0.750 0.922

Calculated values
Space group   P2_1/m (11)
E_form (uncorrected)   -0.9231 eV/atom
Magnetization   0.00 μB per formula unit
N(E_F)   11.6 states/eV per cell